SrEu2Bi after structural relaxation, computed with PBE-GGA.

Output
As for the symmetry: No. 225. The calculation puts the formation energy at -0.2774 eV/atom. The value obtained for the energy relative to the lowest polymorph listed for this composition is 172 meV per atom. For the density, the calculation gives 6.7 g cm⁻³.

a = 5.9414 Å, b = 5.9414 Å, c = 5.9407 Å
α = 60.00°, β = 60.00°, γ = 60.00°
Closest atoms and distances in Å follow each position.
Atoms (fractional coordinates):
Eu (0.7501, 0.7501, 0.7498)  4 Bi 3.64, 4 Sr 3.64
Eu (0.2499, 0.2499, 0.2502)  4 Bi 3.64, 4 Sr 3.64
Sr (0.5000, 0.5000, 0.5000)  8 Eu 3.64
Bi (0.0000, 0.0000, 0.0000)  8 Eu 3.64

=====

AlSiO3 after structural relaxation, computed with PBE-GGA.

Output
As for the symmetry: No. 221. Its uncorrected formation energy is -131 kJ per mole of atoms. For the density, the calculation gives 3.6 g cm⁻³.

a = 3.6306 Å, b = 3.6306 Å, c = 3.6306 Å
α = 90.00°, β = 90.00°, γ = 90.00°
Closest atoms and distances in Å follow each position.
Atoms (fractional coordinates):
Si (0.5000, 0.5000, 0.5000)  12 O 2.57
Al (0.0000, 0.0000, 0.0000)  6 O 1.82
O (0.0000, 0.5000, 0.0000)  2 Al 1.82
O (0.0000, 0.0000, 0.5000)  2 Al 1.82
O (0.5000, 0.0000, 0.0000)  2 Al 1.82

=====

Pr3CdSb after structural relaxation, computed with PBE-GGA.

Output
As for the symmetry: No. 65. Its uncorrected formation energy is -16 kJ per mole of atoms. For the density, the calculation gives 6.4 g cm⁻³.

a = 5.0408 Å, b = 8.2607 Å, c = 9.1401 Å
α = 116.87°, β = 90.00°, γ = 90.00°
Closest atoms and distances in Å follow each position.
Atoms (fractional coordinates):
Pr (0.5000, 0.3250, 0.0000)  1 Pr 2.89, 2 Cd 3.01
Pr (0.0000, 0.8286, 0.6573)  2 Cd 2.90, 1 Sb 3.21
Pr (0.5000, 0.6750, 0.0000)  1 Pr 2.89, 2 Cd 3.01
Pr (0.5000, 0.5000, 0.5000)  2 Cd 3.41, 4 Pr 3.50, 4 Sb 3.79
Pr (0.0000, 0.1714, 0.3427)  2 Cd 2.90, 1 Sb 3.21
Pr (0.5000, 0.0000, 0.5000)  2 Cd 3.41, 4 Pr 3.50, 4 Sb 3.79
Cd (0.5000, 0.0837, 0.1674)  1 Cd 2.73, 4 Pr 2.90-3.01
Cd (0.5000, 0.9163, 0.8326)  1 Cd 2.73, 4 Pr 2.90-3.01
Sb (0.0000, 0.6316, 0.2633)  1 Pr 3.21
Sb (0.0000, 0.3684, 0.7367)  1 Pr 3.21